a | A relaxed structure of CuMoSO, computed with GGA+U.

Structure (extended XYZ):
```
8
Lattice="-1.624 2.634 -4.537 -5.569 -0.397 4.247 0.812 2.786 1.326" Properties=species:S:1:pos:R:3 pbc="T T T"
S -3.427 2.481 2.210
S -4.945 2.426 -0.582
Mo -5.144 0.912 2.721
Mo -5.509 3.390 1.576
O 0.184 2.246 0.490
O -1.369 2.170 -2.237
Cu -1.545 2.430 1.164
Cu -2.963 2.198 -1.319
```

crystal system	monoclinic
space-group type	Pm, No. 6
DOS at the Fermi energy	0.10	states/eV/atom

b | A relaxed structure of CuMoSO, computed with GGA+U.

Structure (extended XYZ):
```
8
Lattice="-1.830 5.871 -1.442 -4.079 2.541 -5.266 -2.842 -0.227 1.812" Properties=species:S:1:pos:R:3 pbc="T T T"
S -3.049 2.393 -1.127
S -7.688 6.739 -3.785
Mo -5.416 3.185 -1.479
Mo -3.164 4.764 -0.887
O -4.833 3.395 -3.640
O -5.258 5.256 -0.970
Cu -6.192 6.400 -2.180
Cu -5.186 4.999 -4.584
```

crystal system	triclinic
space-group type	P1, No. 1
DOS at the Fermi energy	0.00	states/eV/atom

c | A relaxed structure of CuMoSO, computed with GGA+U.

Structure (extended XYZ):
```
8
Lattice="-5.049 -0.191 2.967 0.703 -3.035 -6.171 0.496 -3.349 0.820" Properties=species:S:1:pos:R:3 pbc="T T T"
S -2.716 -4.253 0.718
S -1.508 -4.693 -2.535
Mo 0.319 -2.714 -3.049
Mo -4.144 -0.483 2.297
O 0.430 -3.137 -5.127
O 0.107 -2.286 -0.929
Cu -1.826 -2.687 -0.673
Cu -0.408 -4.928 -4.519
```

crystal system	triclinic
space-group type	P1, No. 1
DOS at the Fermi energy	0.00	states/eV/atom

d | A relaxed structure of CuMoSO, computed with GGA+U.

Structure (extended XYZ):
```
8
Lattice="5.428 0.022 0.006 0.856 6.978 -0.077 0.000 -0.693 3.109" Properties=species:S:1:pos:R:3 pbc="T T T"
S 2.434 4.411 0.418
S 5.215 4.159 1.994
Mo 1.830 5.628 2.320
Mo 4.119 5.971 0.767
O 5.280 0.088 1.088
O 2.599 -0.045 2.690
Cu 2.354 1.701 3.076
Cu 5.317 1.965 1.506
```

crystal system	monoclinic
space-group type	Cm, No. 8
DOS at the Fermi energy	0.11	states/eV/atom

Least stable = d

a | A relaxed structure of CuMoSO, computed with GGA+U.

Structure (extended XYZ):
```
8
Lattice="3.779 0.000 0.000 0.000 3.779 0.000 0.000 0.000 8.034" Properties=species:S:1:pos:R:3 pbc="T T T"
O 0.000 0.000 0.000
O 1.889 1.889 0.000
Mo 0.000 1.889 1.034
Mo 1.889 0.000 7.000
S 0.000 1.889 5.475
S 1.889 0.000 2.559
Cu 0.000 0.000 4.017
Cu 1.889 1.889 4.017
```

crystal system	tetragonal
space-group type	P4/nmm, No. 129
DOS at the Fermi energy	0.39	states/eV/atom

b | A relaxed structure of CuMoSO, computed with GGA+U.

Structure (extended XYZ):
```
8
Lattice="-5.129 -1.884 2.170 1.006 -6.142 0.427 1.119 0.604 3.201" Properties=species:S:1:pos:R:3 pbc="T T T"
S -2.147 -4.732 3.304
S -0.003 -4.240 0.614
Mo -1.262 -6.208 1.418
Mo -3.157 -6.888 4.088
O -0.496 -0.367 2.287
O -3.556 -1.704 1.756
Cu -1.988 -2.941 4.627
Cu 0.283 -1.917 2.919
```

crystal system	triclinic
space-group type	P1, No. 1
DOS at the Fermi energy	0.00	states/eV/atom

Least stable = a